# Pm2Th3PaN6 (PBE-GGA, optimized geometry)
# - calculated volume (Å³/cell) = 401.2
# - raw total energy (eV/atom) = -9.165
data_Pm2Th3PaN6
_chemical_formula_sum 'Pm4 Th6 Pa2 N12'
_cell_length_a 6.261
_cell_length_b 10.838
_cell_length_c 6.265
_cell_angle_alpha 90.00
_cell_angle_beta 109.30
_cell_angle_gamma 90.00
_space_group_name_H-M_alt 'C 1 2/m 1'
_space_group_IT_number 12
loop_
_space_group_symop_operation_xyz
'x,y,z'
'-x,-y,-z'
'-x,y,-z'
'x,-y,z'
'x+1/2,y+1/2,z'
'-x+1/2,-y+1/2,-z'
'-x+1/2,y+1/2,-z'
'x+1/2,-y+1/2,z'
loop_
_atom_site_label
_atom_site_fract_x
_atom_site_fract_y
_atom_site_fract_z
Pm1 0.000 0.167 0.000
Th1 0.000 0.000 0.500
Th2 0.000 0.331 0.500
Pa1 0.000 0.500 0.000
N1 0.227 0.500 0.752
N2 0.235 0.345 0.241